[1]
A plane-wave DFT calculation with PBE-GGA was carried out for a relaxed structure of Tb11Pm4Er9.

Formation energy = 1.40 eV per formula unit

Unit cell a=16.6813 b=25.0887 c=3.6730 alpha=90.00 beta=90.00 gamma=90.00
Closest atoms and distances in Å follow each position.
Space group Cmmm (No. 65)
Symmetry-distinct sites (fractional):
1 Tb 0.0000 0.0000 0.0000 (multiplicity 2)  8 Er 3.48, 2 Tb 3.67
2 Tb 0.0000 0.1590 0.0000 (multiplicity 4)  8 Er 3.63-3.67, 5 Tb 3.67-3.99
3 Tb 0.0000 0.3654 0.0000 (multiplicity 4)  4 Pm 3.28, 4 Er 3.56
4 Tb 0.2104 0.5000 0.0000 (multiplicity 4)  4 Pm 3.26, 4 Er 3.60
5 Tb 0.2261 0.1812 0.0000 (multiplicity 8)  2 Pm 3.38, 6 Er 3.47-3.68, 3 Tb 3.54-3.67
6 Pm 0.1545 0.3993 0.5000 (multiplicity 8)  6 Tb 3.26-3.38, 3 Er 3.50-3.61
7 Er 0.0000 0.5000 0.5000 (multiplicity 2)  4 Pm 3.61, 2 Er 3.67, 8 Tb 3.84-3.96
8 Er 0.1014 0.2642 0.5000 (multiplicity 8)  3 Er 3.38-3.67, 8 Tb 3.47-3.68, 1 Pm 3.50
9 Er 0.1393 0.0727 0.5000 (multiplicity 8)  8 Tb 3.48-3.67, 1 Pm 3.51, 3 Er 3.65-3.67

[2]
A plane-wave DFT calculation with PBE-GGA was carried out for a relaxed structure of Tb3Pm4Er5.

Energy relative to the lowest polymorph listed for this composition = 214 meV per atom
Formation energy = 2.77 eV per formula unit

Unit cell a=16.0295 b=5.9128 c=9.3321 alpha=90.00 beta=116.50 gamma=90.00
Closest atoms and distances in Å follow each position.
Space group C2/m (No. 12)
Symmetry-distinct sites (fractional):
1 Tb 0.0000 0.0000 0.0000 (multiplicity 2)  2 Er 2.96
2 Tb 0.2115 0.5000 0.2362 (multiplicity 4)  5 Er 3.11-3.44, 2 Pm 3.32-3.40
3 Pm 0.0840 0.5000 0.4456 (multiplicity 4)  2 Pm 3.27-3.66, 1 Tb 3.40, 3 Er 3.43-3.51
4 Pm 0.2143 0.5000 0.8824 (multiplicity 4)  3 Tb 3.32-3.54, 3 Pm 3.55-3.66, 3 Er 3.66-3.69
5 Er 0.0000 0.5000 0.0000 (multiplicity 2)  4 Tb 2.96-3.11
6 Er 0.0710 0.0000 0.7003 (multiplicity 4)  2 Tb 3.27-3.46, 2 Er 3.40-3.60
7 Er 0.1713 0.0000 0.3844 (multiplicity 4)  4 Tb 3.18-3.44, 3 Pm 3.43-3.51

[3]
A plane-wave DFT calculation with PBE-GGA was carried out for a relaxed structure of Tb11Pm9Er4.

Formation energy = 1.26 eV per formula unit

Unit cell a=16.8012 b=25.6469 c=3.6905 alpha=90.00 beta=90.00 gamma=90.00
Closest atoms and distances in Å follow each position.
Space group Cmmm (No. 65)
Symmetry-distinct sites (fractional):
1 Tb 0.0000 0.0000 0.0000 (multiplicity 2)  8 Pm 3.54, 2 Tb 3.69
2 Tb 0.0000 0.1622 0.0000 (multiplicity 4)  4 Tb 3.69-3.80, 8 Pm 3.71-3.74
3 Tb 0.0000 0.3688 0.0000 (multiplicity 4)  4 Er 3.31, 4 Pm 3.62, 2 Tb 3.69
4 Tb 0.2098 0.5000 0.0000 (multiplicity 4)  4 Er 3.30, 4 Pm 3.67, 2 Tb 3.69
5 Tb 0.2245 0.1805 0.0000 (multiplicity 8)  2 Er 3.40, 6 Pm 3.54-3.68, 4 Tb 3.67-3.80
6 Pm 0.0000 0.5000 0.5000 (multiplicity 2)  4 Er 3.69, 2 Pm 3.69, 8 Tb 3.84-3.98
7 Pm 0.1033 0.2678 0.5000 (multiplicity 8)  3 Pm 3.47-3.69, 1 Er 3.49, 8 Tb 3.54-3.71
8 Pm 0.1395 0.0741 0.5000 (multiplicity 8)  1 Er 3.49, 8 Tb 3.54-3.74, 3 Pm 3.69-3.80
9 Er 0.1568 0.3994 0.5000 (multiplicity 8)  6 Tb 3.30-3.40, 3 Pm 3.49-3.69, 2 Er 3.69

[4]
A plane-wave DFT calculation with PBE-GGA was carried out for a relaxed structure of TbPm4Er5.

Energy relative to the lowest polymorph listed for this composition = 53 meV per atom
Formation energy = 2.46 eV per formula unit

Unit cell a=10.6401 b=10.6401 c=5.9126 alpha=90.00 beta=90.00 gamma=90.00
Closest atoms and distances in Å follow each position.
Space group I4mm (No. 107)
Symmetry-distinct sites (fractional):
1 Tb 0.0000 0.0000 0.0000 (multiplicity 2)  2 Er 2.81-3.10
2 Pm 0.0000 0.3237 0.7560 (multiplicity 8)  3 Er 3.31-3.71
3 Er 0.0000 0.0000 0.5243 (multiplicity 2)  2 Tb 2.81-3.10
4 Er 0.1890 0.1890 0.2635 (multiplicity 8)  3 Er 3.23-3.48, 1 Tb 3.24, 2 Pm 3.31

[5]
A plane-wave DFT calculation with PBE-GGA was carried out for a relaxed structure of Tb3PmEr6.

Energy relative to the lowest polymorph listed for this composition = 143 meV per atom
Formation energy = 2.91 eV per formula unit

Unit cell a=9.7879 b=9.7879 c=11.5771 alpha=90.00 beta=90.00 gamma=120.00
Closest atoms and distances in Å follow each position.
Space group R3 (No. 146, hexagonal axes)
Symmetry-distinct sites (fractional):
1 Tb 0.0000 0.0000 0.0000 (multiplicity 3)  2 Tb 2.84-2.91
2 Tb 0.0000 0.0000 0.2456 (multiplicity 3)  1 Tb 2.84, 1 Pm 2.96
3 Tb 0.0000 0.0000 0.7488 (multiplicity 3)  1 Pm 2.87, 1 Tb 2.91
4 Pm 0.0000 0.0000 0.5010 (multiplicity 3)  2 Tb 2.87-2.96
5 Er 0.0007 0.3363 0.1732 (multiplicity 9)  1 Pm 3.25, 2 Tb 3.39-3.42
6 Er 0.0023 0.6644 0.6734 (multiplicity 9)  3 Tb 3.23-3.44

[6]
A plane-wave DFT calculation with PBE-GGA was carried out for a relaxed structure of Tb4Pm3Er4.

Energy relative to the lowest polymorph listed for this composition = 65 meV per atom
Formation energy = 1.32 eV per formula unit

Unit cell a=4.1816 b=4.1842 c=20.5200 alpha=95.79 beta=95.85 gamma=90.03
Closest atoms and distances in Å follow each position.
Space group P-1 (No. 2)
Symmetry-distinct sites (fractional):
1 Tb 0.0466 0.0485 0.0943 (multiplicity 2)  4 Er 3.44-3.45, 5 Pm 3.52-3.63, 1 Tb 3.83
2 Tb 0.3176 0.3167 0.6331 (multiplicity 2)  6 Er 3.45-3.77, 4 Pm 3.52
3 Pm 0.1364 0.1369 0.2731 (multiplicity 2)  5 Er 3.49-3.70, 5 Tb 3.52-3.63
4 Pm 0.5000 0.5000 0.0000 (multiplicity 1)  8 Tb 3.52-3.53, 2 Er 3.68
5 Er 0.2279 0.2276 0.4552 (multiplicity 2)  5 Tb 3.45-3.61, 4 Er 3.47-3.48, 1 Pm 3.70
6 Er 0.4082 0.4077 0.8188 (multiplicity 2)  5 Tb 3.44-3.77, 5 Pm 3.49-3.68

[7]
A plane-wave DFT calculation with PBE-GGA was carried out for a relaxed structure of Tb2Pm5Er.

Energy relative to the lowest polymorph listed for this composition = 0 meV per atom
Formation energy = 0.13 eV per formula unit

Unit cell a=7.2225 b=14.4494 c=5.0990 alpha=90.00 beta=90.00 gamma=90.00
Closest atoms and distances in Å follow each position.
Space group Pbam (No. 55)
Symmetry-distinct sites (fractional):
1 Tb 0.2495 0.1241 0.0000 (multiplicity 4)  10 Pm 3.59-3.64, 2 Er 3.60
2 Pm 0.9998 0.2488 0.5000 (multiplicity 4)  1 Er 3.60, 7 Pm 3.60-3.63, 4 Tb 3.61-3.62
3 Pm 0.0000 0.5000 0.5000 (multiplicity 2)  4 Tb 3.60, 6 Pm 3.60-3.63, 2 Er 3.61
4 Pm 0.2495 0.8758 0.0000 (multiplicity 4)  4 Tb 3.59-3.64, 2 Er 3.60, 6 Pm 3.60-3.63
5 Er 0.0000 0.0000 0.5000 (multiplicity 2)  8 Pm 3.60-3.61, 4 Tb 3.60

[8]
A plane-wave DFT calculation with PBE-GGA was carried out for a relaxed structure of Tb2PmEr.

Energy relative to the lowest polymorph listed for this composition = 3 meV per atom
Formation energy = 0.07 eV per formula unit

Unit cell a=3.5695 b=3.5695 c=34.9078 alpha=90.00 beta=90.00 gamma=120.00
Closest atoms and distances in Å follow each position.
Space group R-3m (No. 166, hexagonal axes)
Symmetry-distinct sites (fractional):
1 Tb 0.0000 0.0000 0.2486 (multiplicity 6)  3 Er 3.53, 6 Tb 3.57, 3 Pm 3.60
2 Pm 0.0000 0.0000 0.0000 (multiplicity 3)  6 Pm 3.57, 6 Tb 3.60
3 Er 0.0000 0.0000 0.5000 (multiplicity 3)  6 Tb 3.53, 6 Er 3.57

[9]
A plane-wave DFT calculation with PBE-GGA was carried out for a relaxed structure of Tb5Pm3Er2.

Energy relative to the lowest polymorph listed for this composition = 102 meV per atom
Formation energy = 2.95 eV per formula unit

Unit cell a=12.1483 b=17.0741 c=6.4063 alpha=90.00 beta=90.00 gamma=90.00
Closest atoms and distances in Å follow each position.
Space group Ibam (No. 72)
Symmetry-distinct sites (fractional):
1 Tb 0.0000 0.0000 0.2500 (multiplicity 4)  4 Tb 3.02-3.20
2 Tb 0.2366 0.3318 0.0000 (multiplicity 8)  2 Tb 3.29, 1 Pm 3.34, 3 Er 3.46-3.64
3 Tb 0.2486 0.0000 0.2500 (multiplicity 8)  5 Tb 3.02-3.29, 1 Pm 3.05
4 Pm 0.0000 0.5000 0.2500 (multiplicity 4)  2 Tb 3.05, 2 Pm 3.20
5 Pm 0.0878 0.1676 0.0000 (multiplicity 8)  3 Tb 3.34-3.45, 1 Er 3.56
6 Er 0.0943 0.3313 0.5000 (multiplicity 8)  5 Tb 3.46-3.81, 4 Pm 3.49-3.86

[10]
A plane-wave DFT calculation with PBE-GGA was carried out for a relaxed structure of Tb8Pm2Er.

Energy relative to the lowest polymorph listed for this composition = 0 meV per atom
Formation energy = 0.18 eV per formula unit

Unit cell a=18.2066 b=5.0461 c=7.9949 alpha=90.00 beta=105.31 gamma=90.00
Closest atoms and distances in Å follow each position.
Space group C2/m (No. 12)
Symmetry-distinct sites (fractional):
1 Tb 0.0449 0.0000 0.2280 (multiplicity 4)  9 Tb 3.55-3.58, 2 Er 3.56, 1 Pm 3.58
2 Tb 0.0899 0.5000 0.9529 (multiplicity 4)  8 Tb 3.55-3.58, 1 Er 3.56, 3 Pm 3.58-3.59
3 Tb 0.1351 0.0000 0.6789 (multiplicity 4)  7 Tb 3.55-3.59, 2 Er 3.55, 3 Pm 3.59-3.60
4 Tb 0.1812 0.5000 0.4087 (multiplicity 4)  1 Er 3.56, 8 Tb 3.56-3.59, 3 Pm 3.57
5 Pm 0.2269 0.0000 0.1371 (multiplicity 4)  10 Tb 3.57-3.60, 2 Pm 3.58
6 Er 0.0000 0.5000 0.5000 (multiplicity 2)  12 Tb 3.55-3.56

[11]
A plane-wave DFT calculation with PBE-GGA was carried out for a relaxed structure of TbPmEr2.

Energy relative to the lowest polymorph listed for this composition = 3 meV per atom
Formation energy = 0.07 eV per formula unit

Unit cell a=3.5575 b=3.5575 c=34.6652 alpha=90.00 beta=90.00 gamma=120.00
Closest atoms and distances in Å follow each position.
Space group R-3m (No. 166, hexagonal axes)
Symmetry-distinct sites (fractional):
1 Tb 0.0000 0.0000 0.0000 (multiplicity 3)  6 Er 3.52, 6 Tb 3.56
2 Pm 0.0000 0.0000 0.5000 (multiplicity 3)  6 Pm 3.56, 6 Er 3.57
3 Er 0.0000 0.0000 0.2508 (multiplicity 6)  3 Tb 3.52, 6 Er 3.56, 3 Pm 3.57

[12]
A plane-wave DFT calculation with PBE-GGA was carried out for a relaxed structure of TbPm2Er9.

Energy relative to the lowest polymorph listed for this composition = 43 meV per atom
Formation energy = 0.79 eV per formula unit

Unit cell a=11.1754 b=11.1754 c=3.4864 alpha=90.00 beta=90.00 gamma=120.00
Closest atoms and distances in Å follow each position.
Space group P6/mmm (No. 191)
Symmetry-distinct sites (fractional):
1 Tb 0.0000 0.0000 0.0000 (multiplicity 1)  2 Tb 3.49, 12 Er 3.81
2 Pm 0.3333 0.6667 0.0000 (multiplicity 2)  9 Er 3.23-3.53, 2 Pm 3.49
3 Er 0.0000 0.5000 0.0000 (multiplicity 3)  2 Pm 3.23, 10 Er 3.49-3.60
4 Er 0.1749 0.3498 0.5000 (multiplicity 6)  8 Er 3.39-3.60, 2 Pm 3.53